1.
SrTa2Br: optimized geometry, PBE-GGA.

- E_tot (eV per atom) = -6.07
- total magnetic moment (μB per cell) = 0.743
- density (Mg/m³) = 8.3
- space-group type = Imm2

Structure (CIF):
```
data_SrTa2Br
_symmetry_space_group_name_H-M 'P 1'
_symmetry_Int_Tables_number 1
_symmetry_space_group_name_Hall 'P 1'
_cell_length_a 6.296
_cell_length_b 6.296
_cell_length_c 6.296
_cell_angle_alpha 150.07
_cell_angle_beta 120.87
_cell_angle_gamma 67.68
loop_
_atom_site_label
_atom_site_type_symbol
_atom_site_fract_x
_atom_site_fract_y
_atom_site_fract_z
_atom_site_occupancy
Sr1 Sr 0.269 0.769 0.500 1
Ta1 Ta 0.750 0.250 0.500 1
Ta2 Ta 0.947 0.947 0.000 1
Br1 Br 0.534 0.534 0.000 1
```

---

2.
DyPuHgIr: optimized geometry, PBE-GGA.

- E_tot (eV per atom) = -7.40
- total magnetic moment (μB per cell) = 5.343
- density (Mg/m³) = 14.5
- space-group type = F-43m
- energy of formation from the pure elements (meV per atom) = -373

Structure (CIF):
```
data_DyPuHgIr
_symmetry_space_group_name_H-M 'P 1'
_symmetry_Int_Tables_number 1
_symmetry_space_group_name_Hall 'P 1'
_cell_length_a 5.055
_cell_length_b 5.055
_cell_length_c 5.055
_cell_angle_alpha 60.00
_cell_angle_beta 60.00
_cell_angle_gamma 60.00
loop_
_atom_site_label
_atom_site_type_symbol
_atom_site_fract_x
_atom_site_fract_y
_atom_site_fract_z
_atom_site_occupancy
Ir1 Ir 0.000 0.000 0.000 1
Dy1 Dy 0.250 0.250 0.250 1
Hg1 Hg 0.500 0.500 0.500 1
Pu1 Pu 0.750 0.750 0.750 1
```